# 1
First-principles (PBE) data for an optimized crystal structure of Hf2MgBeRu, as listed in Alexandria.

POSCAR file:
```
Hf2MgBeRu
1.0
4.756 0.000 0.000
0.000 4.756 0.000
0.000 0.000 4.069
Hf Mg Be Ru
2 1 1 1
Direct
0.000 0.500 0.000 Hf
0.500 0.000 0.000 Hf
0.000 0.000 0.500 Mg
0.500 0.500 0.000 Be
0.500 0.500 0.500 Ru
```

Energy   -6.725 eV per atom
Symmetry   P4/mmm
Size of the total moment   0.000 μB/f.u.
Density   8.9 g/cm³

# 2
First-principles (PBE) data for an optimized crystal structure of ErScAu2, as listed in Alexandria.

POSCAR file:
```
ErScAu2
1.0
6.988 0.000 0.000
0.000 6.988 0.000
0.000 0.000 6.988
Er Sc Au
4 4 8
Direct
0.000 0.000 0.000 Er
0.000 0.500 0.500 Er
0.500 0.000 0.500 Er
0.500 0.500 0.000 Er
0.000 0.000 0.500 Sc
0.000 0.500 0.000 Sc
0.500 0.000 0.000 Sc
0.500 0.500 0.500 Sc
0.250 0.250 0.250 Au
0.250 0.250 0.750 Au
0.250 0.750 0.250 Au
0.250 0.750 0.750 Au
0.750 0.250 0.250 Au
0.750 0.250 0.750 Au
0.750 0.750 0.250 Au
0.750 0.750 0.750 Au
```

Symmetry   Fm-3m
Size of the total moment   0.000 μB/f.u.
Density   11.8 g/cm³
Distance to the lowest polymorph of the same formula   13 meV/atom

# 3
First-principles (PBE) data for an optimized crystal structure of Ca2Cd3Hg7, as listed in Alexandria.

POSCAR file:
```
Ca2Cd3Hg7
1.0
4.393 0.000 0.000
0.000 4.178 0.000
-2.007 0.000 18.053
Ca Cd Hg
2 3 7
Direct
0.131 0.000 0.276 Ca
0.869 0.000 0.724 Ca
0.000 0.000 0.000 Cd
0.311 0.500 0.619 Cd
0.689 0.500 0.381 Cd
0.070 0.500 0.143 Hg
0.224 0.000 0.444 Hg
0.427 0.000 0.851 Hg
0.500 0.500 0.000 Hg
0.573 0.000 0.149 Hg
0.776 0.000 0.556 Hg
0.930 0.500 0.857 Hg
```

Energy   -0.885 eV per atom
Symmetry   P2/m
Size of the total moment   0.000 μB/f.u.
Density   9.1 g/cm³

# 4
First-principles (PBE) data for an optimized crystal structure of Y2RePb, as listed in Alexandria.

POSCAR file:
```
Y2RePb
1.0
3.511 0.000 0.000
-1.756 3.041 0.000
0.000 0.000 28.895
Y Re Pb
6 3 3
Direct
0.000 0.000 0.238 Y
0.000 0.000 0.762 Y
0.333 0.667 0.429 Y
0.333 0.667 0.904 Y
0.667 0.333 0.096 Y
0.667 0.333 0.571 Y
0.000 0.000 0.500 Re
0.333 0.667 0.167 Re
0.667 0.333 0.833 Re
0.000 0.000 0.000 Pb
0.333 0.667 0.667 Pb
0.667 0.333 0.333 Pb
```

Energy   -7.150 eV per atom
Symmetry   R-3m
Size of the total moment   0.000 μB/f.u.
Density   9.2 g/cm³

# 5
First-principles (PBE) data for an optimized crystal structure of NpRuC, as listed in Alexandria.

POSCAR file:
```
NpRuC
1.0
3.222 0.000 0.000
-1.611 2.790 0.000
0.000 0.000 5.116
Np Ru C
1 1 1
Direct
0.000 0.000 0.000 Np
0.667 0.333 0.471 Ru
0.333 0.667 0.320 C
```

Symmetry   P3m1
Size of the total moment   3.337 μB/f.u.
Density   12.6 g/cm³
Distance to the lowest polymorph of the same formula   0 meV/atom

# 6
First-principles (PBE) data for an optimized crystal structure of FeTe2PN, as listed in Alexandria.

POSCAR file:
```
FeTe2PN
1.0
5.197 0.000 0.000
0.000 5.197 0.000
0.000 0.000 3.416
Fe Te P N
1 2 1 1
Direct
0.000 0.000 0.000 Fe
0.000 0.500 0.000 Te
0.500 0.000 0.000 Te
0.500 0.500 0.500 P
0.000 0.000 0.500 N
```

Formation energy (no corrections)   451 meV per atom
Symmetry   P4/mmm
Size of the total moment   0.000 μB/f.u.
Density   6.4 g/cm³
Distance to the lowest polymorph of the same formula   0 meV/atom

# 7
First-principles (PBE) data for an optimized crystal structure of InGe2P, as listed in Alexandria.

POSCAR file:
```
InGe2P
1.0
3.454 0.000 0.000
-1.727 2.992 0.000
0.000 0.000 26.577
In Ge P
3 6 3
Direct
0.000 0.000 0.000 In
0.333 0.667 0.667 In
0.667 0.333 0.333 In
0.000 0.000 0.109 Ge
0.000 0.000 0.891 Ge
0.333 0.667 0.558 Ge
0.333 0.667 0.775 Ge
0.667 0.333 0.225 Ge
0.667 0.333 0.442 Ge
0.000 0.000 0.500 P
0.333 0.667 0.167 P
0.667 0.333 0.833 P
```

Symmetry   R-3m
Size of the total moment   0.000 μB/f.u.
Density   5.3 g/cm³
Distance to the lowest polymorph of the same formula   149 meV/atom

# 8
First-principles (PBE) data for an optimized crystal structure of CeAl4IrPt2, as listed in Alexandria.

POSCAR file:
```
CeAl4IrPt2
1.0
2.128 1.228 8.944
-2.128 1.228 8.944
0.000 -2.457 8.944
Ce Al Ir Pt
1 4 1 2
Direct
0.000 0.000 0.000 Ce
0.133 0.133 0.133 Al
0.403 0.403 0.403 Al
0.597 0.597 0.597 Al
0.867 0.867 0.867 Al
0.500 0.500 0.500 Ir
0.233 0.233 0.233 Pt
0.767 0.767 0.767 Pt
```

Energy   -6.110 eV per atom
Symmetry   R-3m
Size of the total moment   0.331 μB/f.u.
Density   9.8 g/cm³

# 9
First-principles (PBE) data for an optimized crystal structure of Ac4YS5, as listed in Alexandria.

POSCAR file:
```
Ac4YS5
1.0
-4.727 4.727 3.006
4.727 -4.727 3.006
4.727 4.727 -3.006
Ac Y S
4 1 5
Direct
0.096 0.698 0.794 Ac
0.302 0.096 0.398 Ac
0.698 0.904 0.602 Ac
0.904 0.302 0.206 Ac
0.500 0.500 0.000 Y
0.000 0.000 0.000 S
0.216 0.402 0.619 S
0.402 0.784 0.186 S
0.598 0.216 0.814 S
0.784 0.598 0.381 S
```

Formation energy (no corrections)   -1974 meV per atom
Symmetry   I4/m
Size of the total moment   0.000 μB/f.u.
Density   7.2 g/cm³

# 10
First-principles (PBE) data for an optimized crystal structure of Nd2Cd2Sn, as listed in Alexandria.

POSCAR file:
```
Nd2Cd2Sn
1.0
10.722 0.000 0.000
0.000 4.516 0.000
-0.525 0.000 6.251
Nd Cd Sn
4 4 2
Direct
0.200 0.000 0.214 Nd
0.300 0.500 0.786 Nd
0.700 0.500 0.214 Nd
0.800 0.000 0.786 Nd
0.089 0.000 0.688 Cd
0.411 0.500 0.312 Cd
0.589 0.500 0.688 Cd
0.911 0.000 0.312 Cd
0.000 0.500 0.000 Sn
0.500 0.000 0.000 Sn
```

Energy   -3.377 eV per atom
Symmetry   C2/m
Size of the total moment   0.000 μB/f.u.
Density   6.9 g/cm³

# 11
First-principles (PBE) data for an optimized crystal structure of ZrSc2Se, as listed in Alexandria.

POSCAR file:
```
ZrSc2Se
1.0
3.486 0.000 0.000
-1.743 3.019 0.000
0.000 0.000 25.799
Zr Sc Se
3 6 3
Direct
0.000 0.000 0.000 Zr
0.333 0.667 0.667 Zr
0.667 0.333 0.333 Zr
0.000 0.000 0.571 Sc
0.000 0.000 0.764 Sc
0.333 0.667 0.238 Sc
0.333 0.667 0.430 Sc
0.667 0.333 0.097 Sc
0.667 0.333 0.904 Sc
0.000 0.000 0.167 Se
0.333 0.667 0.834 Se
0.667 0.333 0.500 Se
```

Formation energy (no corrections)   -696 meV per atom
Symmetry   R3m
Size of the total moment   0.000 μB/f.u.
Density   4.8 g/cm³

# 12
First-principles (PBE) data for an optimized crystal structure of DyMnCuRu, as listed in Alexandria.

POSCAR file:
```
DyMnCuRu
1.0
6.473 0.000 0.000
0.000 6.473 0.000
0.000 0.000 6.473
Dy Mn Cu Ru
4 4 4 4
Direct
0.000 0.000 0.000 Dy
0.000 0.500 0.500 Dy
0.500 0.000 0.500 Dy
0.500 0.500 0.000 Dy
0.000 0.000 0.500 Mn
0.000 0.500 0.000 Mn
0.500 0.000 0.000 Mn
0.500 0.500 0.500 Mn
0.250 0.250 0.750 Cu
0.250 0.750 0.250 Cu
0.750 0.250 0.250 Cu
0.750 0.750 0.750 Cu
0.250 0.250 0.250 Ru
0.250 0.750 0.750 Ru
0.750 0.250 0.750 Ru
0.750 0.750 0.250 Ru
```

Energy   -6.766 eV per atom
Symmetry   F-43m
Size of the total moment   4.379 μB/f.u.
Density   9.4 g/cm³

# 13
First-principles (PBE) data for an optimized crystal structure of LiAcGdAg, as listed in Alexandria.

POSCAR file:
```
LiAcGdAg
1.0
7.697 0.000 0.000
0.000 7.697 0.000
0.000 0.000 7.697
Li Ac Gd Ag
4 4 4 4
Direct
0.000 0.000 0.000 Li
0.000 0.500 0.500 Li
0.500 0.000 0.500 Li
0.500 0.500 0.000 Li
0.250 0.250 0.750 Ac
0.250 0.750 0.250 Ac
0.750 0.250 0.250 Ac
0.750 0.750 0.750 Ac
0.250 0.250 0.250 Gd
0.250 0.750 0.750 Gd
0.750 0.250 0.750 Gd
0.750 0.750 0.250 Gd
0.000 0.000 0.500 Ag
0.000 0.500 0.000 Ag
0.500 0.000 0.000 Ag
0.500 0.500 0.500 Ag
```

Energy   -5.795 eV per atom
Symmetry   F-43m
Size of the total moment   7.676 μB/f.u.
Density   7.3 g/cm³

# 14
First-principles (PBE) data for an optimized crystal structure of Pr2Ni3Sn5, as listed in Alexandria.

POSCAR file:
```
Pr2Ni3Sn5
1.0
2.225 -13.260 0.000
2.225 13.260 0.000
0.000 0.000 7.284
Pr Ni Sn
4 6 10
Direct
0.026 0.974 0.500 Pr
0.327 0.673 0.505 Pr
0.673 0.327 0.005 Pr
0.974 0.026 0.000 Pr
0.106 0.894 0.240 Ni
0.278 0.722 0.025 Ni
0.450 0.550 0.282 Ni
0.550 0.450 0.782 Ni
0.722 0.278 0.525 Ni
0.894 0.106 0.740 Ni
0.093 0.907 0.876 Sn
0.203 0.797 0.311 Sn
0.214 0.786 0.727 Sn
0.378 0.622 0.003 Sn
0.450 0.550 0.664 Sn
0.550 0.450 0.164 Sn
0.622 0.378 0.503 Sn
0.786 0.214 0.227 Sn
0.797 0.203 0.811 Sn
0.907 0.093 0.376 Sn
```

Symmetry   Cmc2_1
Size of the total moment   0.000 μB/f.u.
Density   8.1 g/cm³
Distance to the lowest polymorph of the same formula   27 meV/atom

# 15
First-principles (PBE) data for an optimized crystal structure of Ba3SrRh, as listed in Alexandria.

POSCAR file:
```
Ba3SrRh
1.0
8.447 0.000 0.000
0.000 8.447 0.000
0.000 0.000 14.468
Ba Sr Rh
12 4 4
Direct
0.029 0.321 0.000 Ba
0.085 0.185 0.476 Ba
0.185 0.915 0.226 Ba
0.320 0.417 0.247 Ba
0.321 0.971 0.750 Ba
0.417 0.680 0.997 Ba
0.583 0.320 0.497 Ba
0.679 0.029 0.250 Ba
0.680 0.583 0.747 Ba
0.815 0.085 0.726 Ba
0.915 0.815 0.976 Ba
0.971 0.679 0.500 Ba
0.174 0.468 0.724 Sr
0.468 0.826 0.474 Sr
0.532 0.174 0.974 Sr
0.826 0.532 0.224 Sr
0.108 0.605 0.111 Rh
0.395 0.108 0.361 Rh
0.605 0.892 0.861 Rh
0.892 0.395 0.611 Rh
```

Symmetry   P4_1
Size of the total moment   0.001 μB/f.u.
Density   3.9 g/cm³
Distance to the lowest polymorph of the same formula   0 meV/atom

# 16
First-principles (PBE) data for an optimized crystal structure of TlCrPb2, as listed in Alexandria.

POSCAR file:
```
TlCrPb2
1.0
4.792 0.000 0.000
0.000 4.792 0.000
0.000 0.000 9.370
Tl Cr Pb
2 2 4
Direct
0.000 0.000 0.000 Tl
0.500 0.500 0.500 Tl
0.000 0.000 0.500 Cr
0.500 0.500 0.000 Cr
0.000 0.500 0.250 Pb
0.000 0.500 0.750 Pb
0.500 0.000 0.250 Pb
0.500 0.000 0.750 Pb
```

Symmetry   I4/mmm
Size of the total moment   4.357 μB/f.u.
Density   10.4 g/cm³
Distance to the lowest polymorph of the same formula   114 meV/atom

# 17
First-principles (PBE) data for an optimized crystal structure of Nd2Ga3PdPt4, as listed in Alexandria.

POSCAR file:
```
Nd2Ga3PdPt4
1.0
4.105 0.000 0.000
0.000 4.105 0.000
0.000 0.000 11.496
Nd Ga Pd Pt
2 3 1 4
Direct
0.000 0.500 0.244 Nd
0.500 0.000 0.756 Nd
0.000 0.000 0.000 Ga
0.000 0.500 0.630 Ga
0.500 0.000 0.370 Ga
0.500 0.500 0.000 Pd
0.000 0.000 0.500 Pt
0.000 0.500 0.845 Pt
0.500 0.000 0.155 Pt
0.500 0.500 0.500 Pt
```

Energy   -5.711 eV per atom
Symmetry   P-4m2
Size of the total moment   0.000 μB/f.u.
Density   11.9 g/cm³

# 18
First-principles (PBE) data for an optimized crystal structure of VCoPt14, as listed in Alexandria.

POSCAR file:
```
VCoPt14
1.0
5.585 0.000 0.000
0.000 5.585 0.000
0.000 0.000 7.812
V Co Pt
1 1 14
Direct
0.000 0.000 0.000 V
0.500 0.500 0.000 Co
0.000 0.000 0.500 Pt
0.000 0.500 0.000 Pt
0.000 0.500 0.500 Pt
0.249 0.249 0.240 Pt
0.249 0.249 0.760 Pt
0.249 0.751 0.240 Pt
0.249 0.751 0.760 Pt
0.500 0.000 0.000 Pt
0.500 0.000 0.500 Pt
0.500 0.500 0.500 Pt
0.751 0.249 0.240 Pt
0.751 0.249 0.760 Pt
0.751 0.751 0.240 Pt
0.751 0.751 0.760 Pt
```

Energy   -6.464 eV per atom
Symmetry   P4/mmm
Size of the total moment   3.746 μB/f.u.
Density   19.4 g/cm³

# 19
First-principles (PBE) data for an optimized crystal structure of Mn4RhCl, as listed in Alexandria.

POSCAR file:
```
Mn4RhCl
1.0
0.000 3.452 3.452
3.452 0.000 3.452
3.452 3.452 0.000
Mn Rh Cl
4 1 1
Direct
0.124 0.124 0.124 Mn
0.124 0.124 0.627 Mn
0.124 0.627 0.124 Mn
0.627 0.124 0.124 Mn
0.750 0.750 0.750 Rh
0.500 0.500 0.500 Cl
```

Formation energy (no corrections)   740 meV per atom
Symmetry   F-43m
Size of the total moment   9.116 μB/f.u.
Density   7.2 g/cm³

# 20
First-principles (PBE) data for an optimized crystal structure of Ba2MgZr, as listed in Alexandria.

POSCAR file:
```
Ba2MgZr
1.0
5.286 0.000 0.000
0.000 5.298 0.000
0.000 0.000 10.451
Ba Mg Zr
4 2 2
Direct
0.000 0.000 0.250 Ba
0.000 0.000 0.750 Ba
0.500 0.500 0.250 Ba
0.500 0.500 0.750 Ba
0.000 0.500 0.000 Mg
0.500 0.000 0.500 Mg
0.000 0.500 0.500 Zr
0.500 0.000 0.000 Zr
```

Energy   -2.976 eV per atom
Symmetry   Immm
Size of the total moment   0.003 μB/f.u.
Density   4.4 g/cm³

# 21
First-principles (PBE) data for an optimized crystal structure of ScTeRh, as listed in Alexandria.

POSCAR file:
```
ScTeRh
1.0
4.405 0.000 0.000
-2.203 3.815 0.000
0.000 0.000 3.612
Sc Te Rh
1 1 1
Direct
0.000 0.000 0.000 Sc
0.667 0.333 0.479 Te
0.333 0.667 0.564 Rh
```

Formation energy (no corrections)   -795 meV per atom
Symmetry   P3m1
Size of the total moment   0.000 μB/f.u.
Density   7.5 g/cm³

# 22
First-principles (PBE) data for an optimized crystal structure of La2BeSn, as listed in Alexandria.

POSCAR file:
```
La2BeSn
1.0
7.628 0.000 0.000
0.000 7.628 0.000
0.000 0.000 7.628
La Be Sn
8 4 4
Direct
0.250 0.250 0.250 La
0.250 0.250 0.750 La
0.250 0.750 0.250 La
0.250 0.750 0.750 La
0.750 0.250 0.250 La
0.750 0.250 0.750 La
0.750 0.750 0.250 La
0.750 0.750 0.750 La
0.000 0.000 0.000 Be
0.000 0.500 0.500 Be
0.500 0.000 0.500 Be
0.500 0.500 0.000 Be
0.000 0.000 0.500 Sn
0.000 0.500 0.000 Sn
0.500 0.000 0.000 Sn
0.500 0.500 0.500 Sn
```

Symmetry   Fm-3m
Size of the total moment   0.000 μB/f.u.
Density   6.1 g/cm³
Distance to the lowest polymorph of the same formula   0 meV/atom

# 23
First-principles (PBE) data for an optimized crystal structure of Tb3Fe2C4, as listed in Alexandria.

POSCAR file:
```
Tb3Fe2C4
1.0
5.781 -1.624 0.000
5.781 1.624 0.000
-0.496 0.000 6.680
Tb Fe C
3 2 4
Direct
0.000 0.000 0.000 Tb
0.369 0.369 0.474 Tb
0.631 0.631 0.526 Tb
0.268 0.268 0.857 Fe
0.732 0.732 0.143 Fe
0.181 0.181 0.278 C
0.345 0.345 0.104 C
0.655 0.655 0.896 C
0.819 0.819 0.722 C
```

Energy   -7.514 eV per atom
Symmetry   C2/m
Size of the total moment   0.000 μB/f.u.
Density   8.4 g/cm³

# 24
First-principles (PBE) data for an optimized crystal structure of AgSbPbS3, as listed in Alexandria.

POSCAR file:
```
AgSbPbS3
1.0
5.823 0.000 0.000
0.000 12.166 0.000
-0.247 0.000 8.266
Ag Sb Pb S
4 4 4 12
Direct
0.227 0.079 0.128 Ag
0.227 0.421 0.628 Ag
0.773 0.579 0.372 Ag
0.773 0.921 0.872 Ag
0.261 0.748 0.114 Sb
0.261 0.752 0.614 Sb
0.739 0.248 0.386 Sb
0.739 0.252 0.886 Sb
0.261 0.082 0.647 Pb
0.261 0.418 0.147 Pb
0.739 0.582 0.853 Pb
0.739 0.918 0.353 Pb
0.234 0.595 0.899 S
0.234 0.905 0.399 S
0.244 0.588 0.430 S
0.244 0.912 0.930 S
0.300 0.221 0.358 S
0.300 0.279 0.858 S
0.700 0.721 0.142 S
0.700 0.779 0.642 S
0.756 0.088 0.070 S
0.756 0.412 0.570 S
0.766 0.095 0.601 S
0.766 0.405 0.101 S
```

Formation energy (no corrections)   -262 meV per atom
Symmetry   P2_1/c
Size of the total moment   0.000 μB/f.u.
Density   6.0 g/cm³
Distance to the lowest polymorph of the same formula   30 meV/atom

# 25
First-principles (PBE) data for an optimized crystal structure of KHgAs2Pb, as listed in Alexandria.

POSCAR file:
```
KHgAs2Pb
1.0
5.578 0.000 0.000
0.000 5.578 0.000
0.000 0.000 5.661
K Hg As Pb
1 1 2 1
Direct
0.000 0.000 0.000 K
0.000 0.000 0.500 Hg
0.000 0.500 0.000 As
0.500 0.000 0.000 As
0.500 0.500 0.500 Pb
```

Energy   -1.950 eV per atom
Symmetry   P4/mmm
Size of the total moment   0.467 μB/f.u.
Density   5.6 g/cm³